# SmTlNO

SmTlNO after structural relaxation (PBE, the Open Quantum Materials Database).

The value obtained for the distance to the lowest polymorph of the same formula is 0.000 eV per atom.

The space group is Pca2_1 (No. 29) and the conventional cell measures 5.8079, 8.8108 and 5.7782 Å, with angles of 90.00, 90.00 and 90.00 degrees. The inequivalent atoms are Sm at (0.0007, 0.1210, 0.0000), Tl at (0.0387, 0.3822, 0.5076), N at (0.0454, 0.3722, 0.0916) and O at (0.2491, 0.9979, 0.7460).

# ZnFeWAu

ZnFeWAu after structural relaxation (PBE, the Open Quantum Materials Database).

The formation energy comes out at 0.388 eV per atom. The value obtained for the distance to the lowest polymorph of the same formula is 0.000 eV per atom.

The space group is F-43m (No. 216) and the conventional cell measures 6.2216, 6.2216 and 6.2216 Å, with angles of 90.00, 90.00 and 90.00 degrees. The inequivalent atoms are Zn at (0.0000, 0.0000, 0.0000), Fe at (0.2500, 0.2500, 0.2500), W at (0.0000, 0.0000, 0.5000) and Au at (0.2500, 0.2500, 0.7500).

# SmBNO

SmBNO after structural relaxation (PBE, the Open Quantum Materials Database).

The value obtained for the distance to the lowest polymorph of the same formula is 0.326 eV per atom.

The space group is Pca2_1 (No. 29) and the conventional cell measures 5.2642, 7.3820 and 5.2252 Å, with angles of 90.00, 90.00 and 90.00 degrees. The inequivalent atoms are Sm at (0.0070, 0.1541, 0.0000), B at (0.0236, 0.6297, 0.0004), N at (0.0076, 0.8138, 0.0001) and O at (0.0605, 0.4599, 0.9991).

# CsPmZr

CsPmZr after structural relaxation (PBE, the Open Quantum Materials Database).

The uncorrected energy comes out at -38.13 eV/cell.

The space group is F-43m (No. 216) and the conventional cell measures 8.1698, 8.1698 and 8.1698 Å, with angles of 90.00, 90.00 and 90.00 degrees. The inequivalent atoms are Cs at (0.0000, 0.0000, 0.0000), Pm at (0.2500, 0.2500, 0.2500) and Zr at (0.0000, 0.0000, 0.5000).

# YCoSi2Au

YCoSi2Au after structural relaxation (PBE, the Open Quantum Materials Database).

The uncorrected energy comes out at -61.47 eV/cell.

The space group is I-4m2 (No. 119) and the conventional cell measures 4.0521, 4.0521 and 10.1363 Å, with angles of 90.00, 90.00 and 90.00 degrees. The inequivalent atoms are Y at (0.0000, 0.0000, 0.0000), Co at (0.0000, 0.5000, 0.7500), Si at (0.0000, 0.0000, 0.3846) and Au at (0.0000, 0.5000, 0.2500).

# Cu2Se

Cu2Se after structural relaxation (PBE, the Open Quantum Materials Database).

The uncorrected energy comes out at -41.91 eV/cell.

The space group is Pca2_1 (No. 29) and the conventional cell measures 12.7029, 2.7811 and 5.1548 Å, with angles of 90.00, 90.00 and 90.00 degrees. The inequivalent atoms are Cu at (0.0000, 0.0018, 0.0000), Cu at (0.1391, 0.4511, 0.2501) and Se at (0.1605, 0.1949, 0.7500).

# LiHfGaNi

LiHfGaNi after structural relaxation (PBE, the Open Quantum Materials Database).

The value obtained for the distance to the lowest polymorph of the same formula is 0.000 eV per atom.

The space group is P-4m2 (No. 115) and the conventional cell measures 4.2925, 4.2925 and 6.0707 Å, with angles of 90.00, 90.00 and 90.00 degrees. The inequivalent atoms are Li at (0.0000, 0.5000, 0.2500), Hf at (0.0000, 0.0000, 0.0000), Hf at (0.5000, 0.5000, 0.5000), Ga at (0.0000, 0.0000, 0.5000), Ga at (0.5000, 0.5000, 0.0000) and Ni at (0.0000, 0.5000, 0.7485).

# Li4Zn2InPt

Li4Zn2InPt after structural relaxation (PBE, the Open Quantum Materials Database).

The uncorrected energy comes out at -22.00 eV/cell.

The space group is P-4m2 (No. 115) and the conventional cell measures 4.3760, 4.3760 and 6.3002 Å, with angles of 90.00, 90.00 and 90.00 degrees. The inequivalent atoms are Li at (0.0000, 0.0000, 0.0000), Li at (0.0000, 0.5000, 0.2258), Li at (0.5000, 0.5000, 0.5000), Zn at (0.0000, 0.5000, 0.7730), In at (0.0000, 0.0000, 0.5000) and Pt at (0.5000, 0.5000, 0.0000).

# DyGeBi

DyGeBi after structural relaxation (PBE, the Open Quantum Materials Database).

The value obtained for the distance to the lowest polymorph of the same formula is 0.000 eV per atom.

The space group is F-43m (No. 216) and the conventional cell measures 7.1540, 7.1540 and 7.1540 Å, with angles of 90.00, 90.00 and 90.00 degrees. The inequivalent atoms are Dy at (0.0000, 0.0000, 0.0000), Ge at (0.2500, 0.2500, 0.2500) and Bi at (0.2500, 0.2500, 0.7500).

# NaSmCdSe3

NaSmCdSe3 after structural relaxation (PBE, the Open Quantum Materials Database).

The value obtained for the distance to the lowest polymorph of the same formula is 0.044 eV per atom.

The space group is Pnma (No. 62) and the conventional cell measures 8.1556, 4.2824 and 17.5229 Å, with angles of 90.00, 90.00 and 90.00 degrees. The inequivalent atoms are Na at (0.0615, 0.2500, 0.1975), Sm at (0.2288, 0.2500, 0.9618), Cd at (0.0705, 0.2500, 0.6628), Se at (0.0112, 0.2500, 0.4234), Se at (0.1263, 0.7500, 0.0663) and Se at (0.2291, 0.2500, 0.7915).

# Na2Os

Na2Os after structural relaxation (PBE, the Open Quantum Materials Database).

The value obtained for the distance to the lowest polymorph of the same formula is 0.862 eV per atom.

The space group is Fd-3m (No. 227, origin choice 2) and the conventional cell measures 12.8275, 12.8275 and 12.8275 Å, with angles of 90.00, 90.00 and 90.00 degrees. The inequivalent atoms are Na at (0.0000, 0.0000, 0.0000) and Os at (0.1250, 0.1250, 0.1250).